1.
The following is a DFT calculation (SCAN) of ScZnCl2 at its PBEsol-relaxed geometry.

Values from the calculation:
energy relative to the elements, uncorrected	-1.1059	eV/atom
symmetry	P2/m, No. 10
DOS(E_F)	0.083	states/eV/atom
total DFT energy (no corrections)	-12.03	eV per atom

Cell: 3.4079 3.5043 8.8950 Å, 90.00 90.08 90.00°
Element x y z (fractional)
Sc1 0.0000 0.0000 0.0000
Zn1 0.5000 0.0000 0.5000
Cl1 0.0038 0.5000 0.8067
Cl2 0.9962 0.5000 0.1933

2.
The following is a DFT calculation (SCAN) of ScZnCl2 at its PBEsol-relaxed geometry.

Values from the calculation:
energy relative to the elements, uncorrected	-1.1298	eV/atom
symmetry	P4mm, No. 99
DOS(E_F)	0.182	states/eV/atom
total DFT energy (no corrections)	-12.06	eV per atom

Cell: 3.2120 3.2120 7.7145 Å, 90.00 90.00 90.00°
Element x y z (fractional)
Sc1 0.0000 0.0000 0.0000
Zn1 0.5000 0.5000 0.2516
Cl1 0.0000 0.0000 0.4202
Cl2 0.5000 0.5000 0.8156

3.
The following is a DFT calculation (SCAN) of ScZn2Cl at its PBEsol-relaxed geometry.

Values from the calculation:
energy relative to the elements, uncorrected	-0.6308	eV/atom
symmetry	P4mm, No. 99
DOS(E_F)	0.536	states/eV/atom
total DFT energy (no corrections)	-12.94	eV per atom

Cell: 3.1314 3.1314 7.7113 Å, 90.00 90.00 90.00°
Element x y z (fractional)
Sc1 0.0000 0.0000 0.0000
Zn1 0.0000 0.0000 0.4171
Zn2 0.5000 0.5000 0.2524
Cl1 0.5000 0.5000 0.8153

4.
The following is a DFT calculation (SCAN) of ScZn2Cl at its PBEsol-relaxed geometry.

Values from the calculation:
energy relative to the elements, uncorrected	-0.2744	eV/atom
symmetry	P4/mmm, No. 123
DOS(E_F)	0.492	states/eV/atom
total DFT energy (no corrections)	-12.59	eV per atom

Cell: 3.3062 3.3062 6.7903 Å, 90.00 90.00 90.00°
Element x y z (fractional)
Sc1 0.0000 0.0000 0.0000
Zn1 0.5000 0.5000 0.2424
Zn2 0.5000 0.5000 0.7576
Cl1 0.0000 0.0000 0.5000

5.
The following is a DFT calculation (SCAN) of ScZn2Cl at its PBEsol-relaxed geometry.

Values from the calculation:
energy relative to the elements, uncorrected	-0.3601	eV/atom
symmetry	Pmmm, No. 47
DOS(E_F)	0.613	states/eV/atom
total DFT energy (no corrections)	-12.67	eV per atom

Cell: 3.2327 4.8917 4.9125 Å, 90.00 90.00 90.00°
Element x y z (fractional)
Sc1 0.0000 0.0000 0.0000
Zn1 0.5000 0.2463 0.5000
Zn2 0.5000 0.7537 0.5000
Cl1 0.0000 0.5000 0.0000

6.
The following is a DFT calculation (SCAN) of ScZnCl2 at its PBEsol-relaxed geometry.

Values from the calculation:
energy relative to the elements, uncorrected	-1.1228	eV/atom
symmetry	Imm2, No. 44
DOS(E_F)	0.337	states/eV/atom
total DFT energy (no corrections)	-12.05	eV per atom

Cell: 6.8376 6.8376 6.8376 Å, 153.68 142.64 46.28°
Element x y z (fractional)
Sc1 0.0000 0.0000 0.0000
Zn1 0.1982 0.6982 0.5000
Cl1 0.5293 0.5293 0.0000
Cl2 0.8385 0.3385 0.5000

7.
The following is a DFT calculation (SCAN) of Zr2ScCl at its PBEsol-relaxed geometry.

Values from the calculation:
energy relative to the elements, uncorrected	-0.2249	eV/atom
symmetry	Amm2, No. 38
DOS(E_F)	1.214	states/eV/atom
total DFT energy (no corrections)	-21.13	eV per atom

Cell: 4.8776 6.0172 6.0172 Å, 30.01 90.00 90.00°
Element x y z (fractional)
Zr1 0.0000 0.0000 0.0000
Zr2 0.5000 0.4042 0.4042
Sc1 0.0000 0.7517 0.7517
Cl1 0.5000 0.7167 0.7167

8.
The following is a DFT calculation (SCAN) of Zr2ScCl at its PBEsol-relaxed geometry.

Values from the calculation:
energy relative to the elements, uncorrected	-0.2115	eV/atom
symmetry	Imm2, No. 44
DOS(E_F)	1.063	states/eV/atom
total DFT energy (no corrections)	-21.11	eV per atom

Cell: 5.9102 5.9102 5.9102 Å, 150.23 127.10 61.88°
Element x y z (fractional)
Zr1 0.0000 0.0000 0.0000
Zr2 0.7066 0.2066 0.5000
Sc1 0.2865 0.7865 0.5000
Cl1 0.4963 0.4963 0.0000